# 1
Density functional theory data (GGA-PBE) for ScFe2SbRu after structural relaxation.

Magnetization = 1.104 μB per atom
Space-group type = P4/mmm (123)
Formation energy from raw total energies = 1.50 eV/atom

The structure in CIF format:
```
data_ScFe2SbRu
_chemical_formula_sum 'Sc1 Fe2 Sb1 Ru1'
_cell_length_a 4.337
_cell_length_b 5.213
_cell_length_c 4.337
_cell_angle_alpha 90.00
_cell_angle_beta 90.00
_cell_angle_gamma 90.00
_symmetry_space_group_name_H-M 'P 1'
_symmetry_Int_Tables_number 1
loop_
_symmetry_equiv_pos_as_xyz
'x,y,z'
loop_
_atom_site_label
_atom_site_type_symbol
_atom_site_fract_x
_atom_site_fract_y
_atom_site_fract_z
Sc1 Sc 0.000 0.000 0.000
Sb1 Sb 0.000 0.500 0.000
Fe1 Fe 0.000 0.000 0.500
Fe2 Fe 0.500 0.000 0.000
Ru1 Ru 0.500 0.500 0.500
```

---

# 2
Density functional theory data (GGA-PBE) for ScFeSbRu after structural relaxation.

Magnetization = 0.000 μB per atom
Space-group type = F-43m (216)
Formation energy from raw total energies = -0.40 eV/atom

The structure in CIF format:
```
data_ScFeSbRu
_chemical_formula_sum 'Sc1 Fe1 Sb1 Ru1'
_cell_length_a 4.443
_cell_length_b 4.443
_cell_length_c 4.443
_cell_angle_alpha 60.00
_cell_angle_beta 60.00
_cell_angle_gamma 60.00
_symmetry_space_group_name_H-M 'P 1'
_symmetry_Int_Tables_number 1
loop_
_symmetry_equiv_pos_as_xyz
'x,y,z'
loop_
_atom_site_label
_atom_site_type_symbol
_atom_site_fract_x
_atom_site_fract_y
_atom_site_fract_z
Sc1 Sc 0.000 0.000 0.000
Sb1 Sb 0.500 0.500 0.500
Fe1 Fe 0.250 0.250 0.250
Ru1 Ru 0.750 0.750 0.750
```

---

# 3
Density functional theory data (GGA-PBE) for FeSiSb2Ru after structural relaxation.

Magnetization = 0.693 μB per atom
Space-group type = P4/mmm (123)
Formation energy from raw total energies = 1.13 eV/atom

The structure in CIF format:
```
data_FeSiSb2Ru
_chemical_formula_sum 'Fe1 Si1 Sb2 Ru1'
_cell_length_a 5.085
_cell_length_b 4.183
_cell_length_c 5.085
_cell_angle_alpha 90.00
_cell_angle_beta 90.00
_cell_angle_gamma 90.00
_symmetry_space_group_name_H-M 'P 1'
_symmetry_Int_Tables_number 1
loop_
_symmetry_equiv_pos_as_xyz
'x,y,z'
loop_
_atom_site_label
_atom_site_type_symbol
_atom_site_fract_x
_atom_site_fract_y
_atom_site_fract_z
Sb1 Sb 0.000 0.000 0.500
Sb2 Sb 0.500 0.000 0.000
Si1 Si 0.000 0.000 0.000
Fe1 Fe 0.000 0.500 0.000
Ru1 Ru 0.500 0.500 0.500
```

---

# 4
Density functional theory data (GGA-PBE) for FeTcSbRu after structural relaxation.

Magnetization = 0.980 μB per atom
Space-group type = F-43m (216)
Formation energy from raw total energies = 0.07 eV/atom

The structure in CIF format:
```
data_FeTcSbRu
_chemical_formula_sum 'Fe1 Tc1 Sb1 Ru1'
_cell_length_a 4.412
_cell_length_b 4.412
_cell_length_c 4.412
_cell_angle_alpha 60.00
_cell_angle_beta 60.00
_cell_angle_gamma 60.00
_symmetry_space_group_name_H-M 'P 1'
_symmetry_Int_Tables_number 1
loop_
_symmetry_equiv_pos_as_xyz
'x,y,z'
loop_
_atom_site_label
_atom_site_type_symbol
_atom_site_fract_x
_atom_site_fract_y
_atom_site_fract_z
Fe1 Fe 0.750 0.750 0.750
Sb1 Sb 0.250 0.250 0.250
Tc1 Tc 0.500 0.500 0.500
Ru1 Ru 0.000 0.000 0.000
```

---

# 5
Density functional theory data (GGA-PBE) for FeSb2TeRu after structural relaxation.

Magnetization = 0.657 μB per atom
Space-group type = P4/mmm (123)
E above lowest polymorph = 0.000 eV/atom
Formation energy from raw total energies = 0.89 eV/atom

The structure in CIF format:
```
data_FeSb2TeRu
_chemical_formula_sum 'Fe1 Sb2 Te1 Ru1'
_cell_length_a 4.976
_cell_length_b 4.976
_cell_length_c 5.589
_cell_angle_alpha 90.00
_cell_angle_beta 90.00
_cell_angle_gamma 90.00
_symmetry_space_group_name_H-M 'P 1'
_symmetry_Int_Tables_number 1
loop_
_symmetry_equiv_pos_as_xyz
'x,y,z'
loop_
_atom_site_label
_atom_site_type_symbol
_atom_site_fract_x
_atom_site_fract_y
_atom_site_fract_z
Sb1 Sb 0.000 0.500 0.000
Sb2 Sb 0.500 0.000 0.000
Te1 Te 0.000 0.000 0.500
Fe1 Fe 0.500 0.500 0.500
Ru1 Ru 0.000 0.000 0.000
```

---

# 6
Density functional theory data (GGA-PBE) for FeSb2TeRu after structural relaxation.

Magnetization = 0.046 μB per atom
Space-group type = P4/mmm (123)
E above lowest polymorph = 0.014 eV/atom
Formation energy from raw total energies = 0.90 eV/atom

The structure in CIF format:
```
data_FeSb2TeRu
_chemical_formula_sum 'Fe1 Sb2 Te1 Ru1'
_cell_length_a 4.785
_cell_length_b 4.785
_cell_length_c 4.947
_cell_angle_alpha 90.00
_cell_angle_beta 90.00
_cell_angle_gamma 90.00
_symmetry_space_group_name_H-M 'P 1'
_symmetry_Int_Tables_number 1
loop_
_symmetry_equiv_pos_as_xyz
'x,y,z'
loop_
_atom_site_label
_atom_site_type_symbol
_atom_site_fract_x
_atom_site_fract_y
_atom_site_fract_z
Sb1 Sb 0.000 0.500 0.000
Sb2 Sb 0.500 0.000 0.000
Te1 Te 0.000 0.000 0.500
Fe1 Fe 0.000 0.000 0.000
Ru1 Ru 0.500 0.500 0.500
```

---

# 7
Density functional theory data (GGA-PBE) for FeSbTe2Ru after structural relaxation.

Magnetization = 0.521 μB per atom
Space-group type = P4/mmm (123)
E above lowest polymorph = 0.000 eV/atom
Formation energy from raw total energies = 0.91 eV/atom

The structure in CIF format:
```
data_FeSbTe2Ru
_chemical_formula_sum 'Fe1 Sb1 Te2 Ru1'
_cell_length_a 5.282
_cell_length_b 5.282
_cell_length_c 4.978
_cell_angle_alpha 90.00
_cell_angle_beta 90.00
_cell_angle_gamma 90.00
_symmetry_space_group_name_H-M 'P 1'
_symmetry_Int_Tables_number 1
loop_
_symmetry_equiv_pos_as_xyz
'x,y,z'
loop_
_atom_site_label
_atom_site_type_symbol
_atom_site_fract_x
_atom_site_fract_y
_atom_site_fract_z
Sb1 Sb 0.000 0.000 0.500
Te1 Te 0.000 0.500 0.000
Te2 Te 0.500 0.000 0.000
Fe1 Fe 0.500 0.500 0.500
Ru1 Ru 0.000 0.000 0.000
```

---

# 8
Density functional theory data (GGA-PBE) for FeSbTe2Ru after structural relaxation.

Magnetization = 0.054 μB per atom
Space-group type = P4/mmm (123)
E above lowest polymorph = 0.041 eV/atom
Formation energy from raw total energies = 0.95 eV/atom

The structure in CIF format:
```
data_FeSbTe2Ru
_chemical_formula_sum 'Fe1 Sb1 Te2 Ru1'
_cell_length_a 4.910
_cell_length_b 4.910
_cell_length_c 4.754
_cell_angle_alpha 90.00
_cell_angle_beta 90.00
_cell_angle_gamma 90.00
_symmetry_space_group_name_H-M 'P 1'
_symmetry_Int_Tables_number 1
loop_
_symmetry_equiv_pos_as_xyz
'x,y,z'
loop_
_atom_site_label
_atom_site_type_symbol
_atom_site_fract_x
_atom_site_fract_y
_atom_site_fract_z
Sb1 Sb 0.000 0.000 0.500
Te1 Te 0.000 0.500 0.000
Te2 Te 0.500 0.000 0.000
Fe1 Fe 0.000 0.000 0.000
Ru1 Ru 0.500 0.500 0.500
```

---

# 9
Density functional theory data (GGA-PBE) for TiFeSb2Ru after structural relaxation.

Magnetization = 0.000 μB per atom
Space-group type = P4/mmm (123)
Formation energy from raw total energies = 0.63 eV/atom

The structure in CIF format:
```
data_TiFeSb2Ru
_chemical_formula_sum 'Ti1 Fe1 Sb2 Ru1'
_cell_length_a 4.796
_cell_length_b 4.242
_cell_length_c 4.796
_cell_angle_alpha 90.00
_cell_angle_beta 90.00
_cell_angle_gamma 90.00
_symmetry_space_group_name_H-M 'P 1'
_symmetry_Int_Tables_number 1
loop_
_symmetry_equiv_pos_as_xyz
'x,y,z'
loop_
_atom_site_label
_atom_site_type_symbol
_atom_site_fract_x
_atom_site_fract_y
_atom_site_fract_z
Sb1 Sb 0.000 0.000 0.500
Sb2 Sb 0.500 0.000 0.000
Ti1 Ti 0.000 0.500 0.000
Fe1 Fe 0.000 0.000 0.000
Ru1 Ru 0.500 0.500 0.500
```

---

# 10
Density functional theory data (GGA-PBE) for TiFeSbRu after structural relaxation.

Magnetization = 0.251 μB per atom
Space-group type = F-43m (216)
Formation energy from raw total energies = -0.32 eV/atom

The structure in CIF format:
```
data_TiFeSbRu
_chemical_formula_sum 'Ti1 Fe1 Sb1 Ru1'
_cell_length_a 4.385
_cell_length_b 4.385
_cell_length_c 4.385
_cell_angle_alpha 60.00
_cell_angle_beta 60.00
_cell_angle_gamma 60.00
_symmetry_space_group_name_H-M 'P 1'
_symmetry_Int_Tables_number 1
loop_
_symmetry_equiv_pos_as_xyz
'x,y,z'
loop_
_atom_site_label
_atom_site_type_symbol
_atom_site_fract_x
_atom_site_fract_y
_atom_site_fract_z
Sb1 Sb 0.750 0.750 0.750
Ti1 Ti 0.250 0.250 0.250
Fe1 Fe 0.000 0.000 0.000
Ru1 Ru 0.500 0.500 0.500
```

---

# 11
Density functional theory data (GGA-PBE) for VFeSbRu after structural relaxation.

Magnetization = 0.498 μB per atom
Space-group type = F-43m (216)
Formation energy from raw total energies = -0.02 eV/atom

The structure in CIF format:
```
data_VFeSbRu
_chemical_formula_sum 'V1 Fe1 Sb1 Ru1'
_cell_length_a 4.348
_cell_length_b 4.348
_cell_length_c 4.348
_cell_angle_alpha 60.00
_cell_angle_beta 60.00
_cell_angle_gamma 60.00
_symmetry_space_group_name_H-M 'P 1'
_symmetry_Int_Tables_number 1
loop_
_symmetry_equiv_pos_as_xyz
'x,y,z'
loop_
_atom_site_label
_atom_site_type_symbol
_atom_site_fract_x
_atom_site_fract_y
_atom_site_fract_z
Sb1 Sb 0.250 0.250 0.250
V1 V 0.750 0.750 0.750
Fe1 Fe 0.000 0.000 0.000
Ru1 Ru 0.500 0.500 0.500
```

---

# 12
Density functional theory data (GGA-PBE) for ZnFeSbRu after structural relaxation.

Magnetization = 0.000 μB per atom
Space-group type = F-43m (216)
Formation energy from raw total energies = 0.08 eV/atom

The structure in CIF format:
```
data_ZnFeSbRu
_chemical_formula_sum 'Zn1 Fe1 Sb1 Ru1'
_cell_length_a 4.337
_cell_length_b 4.337
_cell_length_c 4.337
_cell_angle_alpha 60.00
_cell_angle_beta 60.00
_cell_angle_gamma 60.00
_symmetry_space_group_name_H-M 'P 1'
_symmetry_Int_Tables_number 1
loop_
_symmetry_equiv_pos_as_xyz
'x,y,z'
loop_
_atom_site_label
_atom_site_type_symbol
_atom_site_fract_x
_atom_site_fract_y
_atom_site_fract_z
Sb1 Sb 0.000 0.000 0.000
Zn1 Zn 0.500 0.500 0.500
Fe1 Fe 0.750 0.750 0.750
Ru1 Ru 0.250 0.250 0.250
```